# Mg8ZnPd2

A geometry-optimized Mg8ZnPd2 structure (PBE, the Alexandria database).

Computed properties:
calculated volume: 214.0 Å³/cell
relative energy among the computed polymorphs: 9 meV per atom

```
Mg8ZnPd2
1.0
4.568 0.000 0.000
-0.065 6.655 0.000
-2.229 -2.969 7.038
Mg Zn Pd
8 1 2
direct
0.000 0.000 0.000
0.043 0.552 0.091
0.212 0.030 0.428
0.358 0.839 0.718
0.422 0.319 0.851
0.632 0.195 0.265
0.687 0.704 0.379
0.839 0.507 0.685
0.204 0.443 0.412
0.520 0.763 0.042
0.838 0.093 0.680
```